No. 1
The following is a PBE calculation of Hf4GeAuC2 after structural relaxation, from OQMD.

a = 3.2943 Å, b = 3.2943 Å, c = 13.8517 Å
α = 90.00°, β = 90.00°, γ = 120.00°
Fractional coordinates of all 8 atoms:
Au 0.0000 0.0000 0.0000
C 0.3333 0.6667 0.2546
C 0.3333 0.6667 0.7454
Ge 0.6667 0.3333 0.5000
Hf 0.6667 0.3333 0.1624
Hf 0.0000 0.0000 0.3447
Hf 0.0000 0.0000 0.6553
Hf 0.6667 0.3333 0.8376

Values from the calculation:
space group = P-6m2 (187)

***

No. 2
The following is a PBE calculation of Nb4GeAuC2 after structural relaxation, from OQMD.

a = 3.2166 Å, b = 3.2166 Å, c = 13.3507 Å
α = 90.00°, β = 90.00°, γ = 120.00°
Fractional coordinates of all 8 atoms:
Au 0.0000 0.0000 0.0000
C 0.3333 0.6667 0.2550
C 0.3333 0.6667 0.7450
Ge 0.6667 0.3333 0.5000
Nb 0.6667 0.3333 0.1688
Nb 0.0000 0.0000 0.3457
Nb 0.0000 0.0000 0.6543
Nb 0.6667 0.3333 0.8312

Values from the calculation:
space group = P-6m2 (187)

***

No. 3
The following is a PBE calculation of Sc4GeAuC2 after structural relaxation, from OQMD.

a = 3.3654 Å, b = 3.3654 Å, c = 13.7315 Å
α = 90.00°, β = 90.00°, γ = 120.00°
Fractional coordinates of all 8 atoms:
Au 0.0000 0.0000 0.0000
C 0.3333 0.6667 0.2471
C 0.3333 0.6667 0.7529
Ge 0.6667 0.3333 0.5000
Sc 0.6667 0.3333 0.1621
Sc 0.0000 0.0000 0.3397
Sc 0.0000 0.0000 0.6603
Sc 0.6667 0.3333 0.8379

Values from the calculation:
space group = P-6m2 (187)

***

No. 4
The following is a PBE calculation of GeW4AuC2 after structural relaxation, from OQMD.

a = 3.1424 Å, b = 3.1424 Å, c = 13.0014 Å
α = 90.00°, β = 90.00°, γ = 120.00°
Fractional coordinates of all 8 atoms:
Au 0.3333 0.6667 0.5000
C 0.0000 0.0000 0.2419
C 0.0000 0.0000 0.7581
Ge 0.6667 0.3333 0.0000
W 0.3333 0.6667 0.1517
W 0.6667 0.3333 0.3246
W 0.6667 0.3333 0.6754
W 0.3333 0.6667 0.8483

Values from the calculation:
space group = P-6m2 (187)

***

No. 5
The following is a PBE calculation of H6AuCI3N after structural relaxation, from OQMD.

a = 8.3581 Å, b = 8.3581 Å, c = 25.1079 Å
α = 90.00°, β = 90.00°, γ = 90.00°
Fractional coordinates of all 96 atoms:
Au 0.4606 0.4606 0.0000
Au 0.9610 0.9610 0.0000
Au 0.9606 0.0394 0.2500
Au 0.4610 0.5390 0.2500
Au 0.0390 0.0390 0.5000
Au 0.5394 0.5394 0.5000
Au 0.5390 0.4610 0.7500
Au 0.0394 0.9606 0.7500
C 0.9863 0.4530 0.1117
C 0.4863 0.0470 0.1383
C 0.9530 0.5137 0.3617
C 0.5470 0.0137 0.3883
C 0.0137 0.5470 0.6117
C 0.5137 0.9530 0.6383
C 0.0470 0.4863 0.8617
C 0.4530 0.9863 0.8883
H 0.4885 0.9812 0.0577
H 0.9290 0.4976 0.0753
H 0.3086 0.9590 0.0867
H 0.4545 0.8268 0.0997
H 0.1165 0.4630 0.1085
H 0.9522 0.3283 0.1188
H 0.4522 0.1717 0.1312
H 0.6165 0.0370 0.1415
H 0.9545 0.6732 0.1503
H 0.8086 0.5410 0.1633
H 0.4290 0.0024 0.1747
H 0.9885 0.5188 0.1923
H 0.4812 0.0115 0.3077
H 0.9976 0.5710 0.3253
H 0.4590 0.1914 0.3367
H 0.3268 0.0455 0.3497
H 0.9630 0.3835 0.3585
H 0.8283 0.5478 0.3688
H 0.6717 0.0478 0.3812
H 0.5370 0.8835 0.3915
H 0.1732 0.5455 0.4003
H 0.0410 0.6914 0.4133
H 0.5024 0.0710 0.4247
H 0.0188 0.5115 0.4423
H 0.5115 0.0188 0.5577
H 0.0710 0.5024 0.5753
H 0.6914 0.0410 0.5867
H 0.5455 0.1732 0.5997
H 0.8835 0.5370 0.6085
H 0.0478 0.6717 0.6188
H 0.5478 0.8283 0.6312
H 0.3835 0.9630 0.6415
H 0.0455 0.3268 0.6503
H 0.1914 0.4590 0.6633
H 0.5710 0.9976 0.6747
H 0.0115 0.4812 0.6923
H 0.5188 0.9885 0.8077
H 0.0024 0.4290 0.8253
H 0.5410 0.8086 0.8367
H 0.6732 0.9545 0.8497
H 0.0370 0.6165 0.8585
H 0.1717 0.4522 0.8688
H 0.3283 0.9522 0.8812
H 0.4630 0.1165 0.8915
H 0.8268 0.4545 0.9003
H 0.9590 0.3086 0.9133
H 0.4976 0.9290 0.9247
H 0.9812 0.4885 0.9423
I 0.2326 0.2326 0.0000
I 0.6906 0.6906 0.0000
I 0.6852 0.2296 0.0093
I 0.9843 0.9560 0.1049
I 0.4843 0.5440 0.1451
I 0.1852 0.2704 0.2407
I 0.7326 0.2674 0.2500
I 0.1906 0.8094 0.2500
I 0.7296 0.8148 0.2593
I 0.4560 0.5157 0.3549
I 0.0440 0.0157 0.3951
I 0.7704 0.3148 0.4907
I 0.3094 0.3094 0.5000
I 0.7674 0.7674 0.5000
I 0.3148 0.7704 0.5093
I 0.0157 0.0440 0.6049
I 0.5157 0.4560 0.6451
I 0.8148 0.7296 0.7407
I 0.8094 0.1906 0.7500
I 0.2674 0.7326 0.7500
I 0.2704 0.1852 0.7593
I 0.5440 0.4843 0.8549
I 0.9560 0.9843 0.8951
I 0.2296 0.6852 0.9907
N 0.4314 0.9476 0.0926
N 0.9314 0.5524 0.1574
N 0.4476 0.0686 0.3426
N 0.0524 0.5686 0.4074
N 0.5686 0.0524 0.5926
N 0.0686 0.4476 0.6574
N 0.5524 0.9314 0.8426
N 0.9476 0.4314 0.9074

Values from the calculation:
space group = P4_32_12 (96)

***

No. 6
The following is a PBE calculation of H12AuC4N after structural relaxation, from OQMD.

a = 7.5415 Å, b = 7.5415 Å, c = 5.4029 Å
α = 90.00°, β = 90.00°, γ = 90.00°
Fractional coordinates of all 36 atoms:
Au 0.7500 0.7500 0.3529
Au 0.2500 0.2500 0.6471
C 0.5882 0.2500 0.1605
C 0.9118 0.2500 0.1605
C 0.2500 0.5882 0.1605
C 0.2500 0.9118 0.1605
C 0.7500 0.0882 0.8395
C 0.7500 0.4118 0.8395
C 0.0882 0.7500 0.8395
C 0.4118 0.7500 0.8395
H 0.2500 0.0290 0.0387
H 0.0290 0.2500 0.0387
H 0.4710 0.2500 0.0387
H 0.2500 0.4710 0.0387
H 0.5915 0.1302 0.2758
H 0.9085 0.1302 0.2758
H 0.5915 0.3698 0.2758
H 0.9085 0.3698 0.2758
H 0.1302 0.5915 0.2758
H 0.3698 0.5915 0.2758
H 0.1302 0.9085 0.2758
H 0.3698 0.9085 0.2758
H 0.6302 0.0915 0.7242
H 0.8698 0.0915 0.7242
H 0.6302 0.4085 0.7242
H 0.8698 0.4085 0.7242
H 0.0915 0.6302 0.7242
H 0.4085 0.6302 0.7242
H 0.0915 0.8698 0.7242
H 0.4085 0.8698 0.7242
H 0.7500 0.5290 0.9613
H 0.5290 0.7500 0.9613
H 0.9710 0.7500 0.9613
H 0.7500 0.9710 0.9613
N 0.7500 0.2500 0.0000
N 0.2500 0.7500 0.0000

Values from the calculation:
space group = P4/nmm (129)

***

Ordered total DFT energy (no corrections) results: -0.665 -0.645 -0.521 -0.704 -0.300 -0.367; unit Ry/atom.